An optimized crystal structure of BaLiPbAu. Source: OQMD via LeMat-Bulk, functional PBE. Values from VASP.

- Calculated volume: 116.19 Å³ per cell
- Space group: F-43m, No. 216
- E above lowest polymorph: 112 meV/atom

The structure in Quantum ESPRESSO input format:
```
&SYSTEM
  ibrav = 0, nat = 4, ntyp = 4
/
ATOMIC_SPECIES
Pb 207.20 Pb.upf
Au 196.97 Au.upf
Ba 137.33 Ba.upf
Li 6.94 Li.upf
ATOMIC_POSITIONS crystal
Pb 0.250 0.250 0.250
Au 0.750 0.750 0.750
Ba 0.000 0.000 0.000
Li 0.500 0.500 0.500
CELL_PARAMETERS angstrom
0.000 3.873 3.873
3.873 0.000 3.873
3.873 3.873 0.000
```

=====

An optimized crystal structure of BaLiPbAu. Source: OQMD via LeMat-Bulk, functional PBE. Values from VASP.

- Calculated volume: 106.57 Å³ per cell
- Space group: F-43m, No. 216
- E above lowest polymorph: 0 meV/atom

The structure in Quantum ESPRESSO input format:
```
&SYSTEM
  ibrav = 0, nat = 4, ntyp = 4
/
ATOMIC_SPECIES
Ba 137.33 Ba.upf
Au 196.97 Au.upf
Pb 207.20 Pb.upf
Li 6.94 Li.upf
ATOMIC_POSITIONS crystal
Ba 0.500 0.500 0.500
Au 0.750 0.750 0.750
Pb 0.000 0.000 0.000
Li 0.250 0.250 0.250
CELL_PARAMETERS angstrom
2.406 -3.452 3.258
-1.180 -5.182 -0.273
3.567 -3.443 -1.935
```